No. 1
VASP calculation (GGA-PBE) on a geometry-optimized ThInTe3Au structure.

Values from the calculation:
The calculation puts the magnetic moment at 0.0000 μB/atom. The raw formation energy comes out at -0.68 eV per atom.

Cell lengths 9.526, 4.435, 10.120 Å; angles 90.00, 107.38, 90.00 degrees
Space group P2_1/m (No. 11)
Symmetry-distinct sites (fractional):
Th (0.187, 0.250, 0.175) x2
In (0.303, 0.750, 0.761) x2
Te (0.057, 0.250, 0.841) x2
Te (0.268, 0.250, 0.493) x2
Te (0.399, 0.750, 0.123) x2
Au (0.399, 0.750, 0.399) x2

---

No. 2
VASP calculation (GGA-PBE) on a geometry-optimized ThIn2Te4Au structure.

Values from the calculation:
The density of states at the Fermi level comes out at 1.7 states/eV per cell. The calculation puts the magnetic moment at 0.0000 μB/atom. The raw formation energy comes out at -0.47 eV per atom.

Cell lengths 7.823, 4.290, 8.642 Å; angles 90.00, 111.47, 90.00 degrees
Space group P2/m (No. 10)
Symmetry-distinct sites (fractional):
Th (0.000, 0.000, 0.000) x1
In (0.000, 0.500, 0.500) x1
In (0.500, 0.000, 0.500) x1
Te (0.224, 0.500, 0.248) x2
Te (0.287, 0.000, 0.804) x2
Au (0.500, 0.500, 0.000) x1

---

No. 3
VASP calculation (GGA-PBE) on a geometry-optimized TlIn2TeAu structure.

Values from the calculation:
The density of states at the Fermi level comes out at 2.5 states/eV per cell. The calculation puts the magnetic moment at 0.0000 μB/atom. The raw formation energy comes out at -0.08 eV per atom.

Cell lengths 5.343, 5.343, 5.587 Å; angles 90.00, 90.00, 90.00 degrees
Space group P4/mmm (No. 123)
Symmetry-distinct sites (fractional):
Tl (0.000, 0.000, 0.000) x1
In (0.000, 0.500, 0.500) x2
Te (0.500, 0.500, 0.000) x1
Au (0.000, 0.000, 0.500) x1

---

No. 4
VASP calculation (GGA-PBE) on a geometry-optimized TlInTeAu2 structure.

Values from the calculation:
The density of states at the Fermi level comes out at 3.5 states/eV per cell. The calculation puts the magnetic moment at 0.0000 μB/atom. The raw formation energy comes out at 0.33 eV per atom.

Cell lengths 5.261, 5.261, 6.545 Å; angles 90.00, 90.00, 90.00 degrees
Space group P4/mmm (No. 123)
Symmetry-distinct sites (fractional):
Tl (0.000, 0.000, 0.000) x1
In (0.500, 0.500, 0.000) x1
Te (0.000, 0.000, 0.500) x1
Au (0.000, 0.500, 0.500) x2

---

No. 5
VASP calculation (GGA-PBE) on a geometry-optimized TlIn2Te4Au structure.

Values from the calculation:
The density of states at the Fermi level comes out at 6.0 states/eV per cell. The calculation puts the magnetic moment at 0.0000 μB/atom. The raw formation energy comes out at -0.13 eV per atom.

Cell lengths 7.880, 7.880, 8.696 Å; angles 90.00, 90.00, 90.00 degrees
Space group I-42m (No. 121)
Symmetry-distinct sites (fractional):
Tl (0.000, 0.000, 0.000) x2
In (0.000, 0.500, 0.250) x4
Te (0.222, 0.222, 0.621) x8
Au (0.000, 0.000, 0.500) x2

---

No. 6
VASP calculation (GGA-PBE) on a geometry-optimized ZrInTe3Au structure.

Values from the calculation:
The density of states at the Fermi level comes out at 0.5 states/eV per cell. The calculation puts the magnetic moment at 0.0000 μB/atom. The raw formation energy comes out at -0.51 eV per atom.

Cell lengths 8.604, 4.151, 10.653 Å; angles 90.00, 110.27, 90.00 degrees
Space group P2_1/m (No. 11)
Symmetry-distinct sites (fractional):
Zr (0.210, 0.250, 0.180) x2
In (0.222, 0.750, 0.717) x2
Te (0.055, 0.250, 0.878) x2
Te (0.224, 0.250, 0.452) x2
Te (0.431, 0.750, 0.140) x2
Au (0.416, 0.750, 0.393) x2